Material: PaTcP2Ru
Method: DFT, PBE-GGA
State: relaxed

abc: 5.5695 5.5695 5.5695
angles: 136.72 136.72 62.87
With the nearest neighbours (Å) after each atom.
Element x y z (fractional)
Pa  0.0000  0.0000  0.0000  8 P 3.14, 4 Tc 3.14, 4 Ru 3.14
Tc  0.7500  0.2500  0.5000  4 P 2.37
P  0.3754  0.3754  0.0000  1 P 2.37, 2 Tc 2.37, 2 Ru 2.37
P  0.6246  0.6246  0.0000  1 P 2.37, 2 Tc 2.37, 2 Ru 2.37
Ru  0.2500  0.7500  0.5000  4 P 2.37

Total DFT energy (no corrections) in eV/atom: -8.887
Crystal system: tetragonal
Spin magnetization in μB per cell: 0.000